1.
# Te2MoBr

Crystalline Te2MoBr at its relaxed geometry (GGA-PBE, Alexandria via LeMat-Bulk).

abc: 7.1918 7.1918 7.1918
angles: 90.00 90.00 90.00
Space group Fm-3m (No. 225)
Asymmetric unit:
Te 0.2500 0.2500 0.2500 [8 per cell]
Mo 0.0000 0.0000 0.0000 [4 per cell]
Br 0.0000 0.0000 0.5000 [4 per cell]

Calculated values
Total moment ... 0.504 μB/atom
Relative energy among the computed polymorphs ... 627.9 meV/atom
Energy relative to the elements, uncorrected ... 0.544 eV per atom

2.
# AcCeDyZn

Crystalline AcCeDyZn at its relaxed geometry (GGA-PBE, Alexandria via LeMat-Bulk).

abc: 7.8074 7.8074 7.8074
angles: 90.00 90.00 90.00
Space group F-43m (No. 216)
Asymmetric unit:
Ac 0.0000 0.0000 0.0000 [4 per cell]
Ce 0.2500 0.2500 0.2500 [4 per cell]
Dy 0.2500 0.2500 0.7500 [4 per cell]
Zn 0.0000 0.0000 0.5000 [4 per cell]

Calculated values
Total moment ... 0.382 μB/atom
Energy of formation ... 0.2096 eV per atom

3.
# Li5In2Rh

Crystalline Li5In2Rh at its relaxed geometry (GGA-PBE, Alexandria via LeMat-Bulk).

abc: 6.4232 12.5965 3.4127
angles: 90.00 90.00 90.00
Space group Pbam (No. 55)
Asymmetric unit:
Li 0.0000 0.0000 0.0000 [2 per cell]
Li 0.0094 0.2491 0.0000 [4 per cell]
Li 0.2311 0.3842 0.5000 [4 per cell]
In 0.2377 0.6199 0.5000 [4 per cell]
Rh 0.0000 0.5000 0.0000 [2 per cell]

Calculated values
Total moment ... 0.000 μB/atom
Energy of formation ... -0.2636 eV per atom

4.
# NdNbIO4

Crystalline NdNbIO4 at its relaxed geometry (GGA-PBE, Alexandria via LeMat-Bulk).

abc: 12.7883 6.6888 7.1715
angles: 90.00 104.57 90.00
Space group C2/m (No. 12)
Asymmetric unit:
Nd 0.2084 0.0000 0.3371 [4 per cell]
Nb 0.1253 0.0000 0.7466 [4 per cell]
I 0.0282 0.5000 0.1929 [4 per cell]
O 0.0238 0.0000 0.2979 [4 per cell]
O 0.1795 0.2148 0.6215 [8 per cell]
O 0.1866 0.0000 0.0095 [4 per cell]

Calculated values
Total moment ... 0.000 μB/atom
Energy relative to the elements, uncorrected ... -2.457 eV per atom

5.
# Dy3InPb

Crystalline Dy3InPb at its relaxed geometry (GGA-PBE, Alexandria via LeMat-Bulk).

abc: 16.1463 6.3698 11.1151
angles: 90.00 96.42 90.00
Space group C2/c (No. 15)
Asymmetric unit:
Dy 0.0441 0.2473 0.0095 [8 per cell]
Dy 0.1012 0.4880 0.7738 [8 per cell]
Dy 0.1955 0.0201 0.2604 [8 per cell]
In 0.1585 0.2763 0.5275 [8 per cell]
Pb 0.0000 0.0009 0.7500 [4 per cell]
Pb 0.2500 0.2500 0.0000 [4 per cell]

Calculated values
Total moment ... 0.000 μB/atom
Energy of formation ... -0.3037 eV per atom

6.
# ZrTc2Ru

Crystalline ZrTc2Ru at its relaxed geometry (GGA-PBE, Alexandria via LeMat-Bulk).

abc: 2.7890 2.7890 8.3224
angles: 90.00 90.00 90.00
Space group P4/mmm (No. 123)
Asymmetric unit:
Zr 0.0000 0.0000 0.0000 [1 per cell]
Tc 0.5000 0.5000 0.2803 [2 per cell]
Ru 0.0000 0.0000 0.5000 [1 per cell]

Calculated values
Total moment ... 0.000 μB/atom
Relative energy among the computed polymorphs ... 152.8 meV/atom
Energy of formation ... 0.0921 eV per atom

7.
# La3Nd4Sm2

Crystalline La3Nd4Sm2 at its relaxed geometry (GGA-PBE, Alexandria via LeMat-Bulk).

abc: 3.6773 3.6773 27.6267
angles: 90.00 90.00 120.00
Space group P3m1 (No. 156)
Asymmetric unit:
La 0.0000 0.0000 0.0000 [1 per cell]
La 0.0000 0.0000 0.3362 [1 per cell]
La 0.6667 0.3333 0.6693 [1 per cell]
Nd 0.0000 0.0000 0.5574 [1 per cell]
Nd 0.0000 0.0000 0.7819 [1 per cell]
Nd 0.6667 0.3333 0.2289 [1 per cell]
Nd 0.6667 0.3333 0.4502 [1 per cell]
Sm 0.6667 0.3333 0.1058 [1 per cell]
Sm 0.6667 0.3333 0.8871 [1 per cell]

Calculated values
Total moment ... 0.000 μB/atom
Relative energy among the computed polymorphs ... 0.0 meV/atom
Energy of formation ... 0.0648 eV per atom

8.
# LaIrRu2

Crystalline LaIrRu2 at its relaxed geometry (GGA-PBE, Alexandria via LeMat-Bulk).

abc: 2.9727 2.9727 8.0174
angles: 90.00 90.00 90.00
Space group P4/mmm (No. 123)
Asymmetric unit:
La 0.0000 0.0000 0.0000 [1 per cell]
Ir 0.0000 0.0000 0.5000 [1 per cell]
Ru 0.5000 0.5000 0.2961 [2 per cell]

Calculated values
Total moment ... 0.000 μB/atom
Relative energy among the computed polymorphs ... 112.8 meV/atom
Energy of formation ... 0.2533 eV per atom

Please write out number 3 again, unchanged.
# Li5In2Rh

Crystalline Li5In2Rh at its relaxed geometry (GGA-PBE, Alexandria via LeMat-Bulk).

abc: 6.4232 12.5965 3.4127
angles: 90.00 90.00 90.00
Space group Pbam (No. 55)
Asymmetric unit:
Li 0.0000 0.0000 0.0000 [2 per cell]
Li 0.0094 0.2491 0.0000 [4 per cell]
Li 0.2311 0.3842 0.5000 [4 per cell]
In 0.2377 0.6199 0.5000 [4 per cell]
Rh 0.0000 0.5000 0.0000 [2 per cell]

Calculated values
Total moment ... 0.000 μB/atom
Energy of formation ... -0.2636 eV per atom

Repeat the first record exactly.
# Te2MoBr

Crystalline Te2MoBr at its relaxed geometry (GGA-PBE, Alexandria via LeMat-Bulk).

abc: 7.1918 7.1918 7.1918
angles: 90.00 90.00 90.00
Space group Fm-3m (No. 225)
Asymmetric unit:
Te 0.2500 0.2500 0.2500 [8 per cell]
Mo 0.0000 0.0000 0.0000 [4 per cell]
Br 0.0000 0.0000 0.5000 [4 per cell]

Calculated values
Total moment ... 0.504 μB/atom
Relative energy among the computed polymorphs ... 627.9 meV/atom
Energy relative to the elements, uncorrected ... 0.544 eV per atom

total moment of number 5 (Dy3InPb)? 0.000 μB/atom